1.
Compound: RbPt2Au
Source: Alexandria
Functional: PBE-GGA
Structure: relaxed

Lattice parameters (Å, degrees): 4.8715 4.8715 4.8715 60.00 60.00 60.00
Last column: nearest neighbours and their distance in Å.
Positions (direct):
Rb 0.0000 0.0000 0.0000  8 Pt 2.98
Pt 0.2500 0.2500 0.2500  4 Rb 2.98, 4 Au 2.98
Pt 0.7500 0.7500 0.7500  4 Rb 2.98, 4 Au 2.98
Au 0.5000 0.5000 0.5000  8 Pt 2.98

Calculated values
Uncorrected energy: -13.64 eV/f.u.
N(E_F): 0.510 states/eV per cell
Calculated volume: 20.44 Å³/atom
Formation energy: 0.6706 eV/atom
Distance to the lowest polymorph of the same formula: 0.5193 eV/atom
Size of the total moment: 0.0 μB per formula unit

---

2.
Compound: TiRu2WBr
Source: Alexandria
Functional: PBE-GGA
Structure: relaxed

Lattice parameters (Å, degrees): 4.5189 4.5189 4.7097 90.00 90.00 90.00
Last column: nearest neighbours and their distance in Å.
Positions (direct):
Ti 0.0000 0.0000 0.0000  4 Ru 2.26, 2 Br 2.35
Ru 0.0000 0.5000 0.0000  2 Ti 2.26
Ru 0.5000 0.0000 0.0000  2 Ti 2.26
W 0.5000 0.5000 0.5000  4 Br 3.20, 8 Ru 3.26
Br 0.0000 0.0000 0.5000  2 Ti 2.35

Calculated values
Uncorrected energy: -33.17 eV/f.u.
N(E_F): 5.763 states/eV per cell
Calculated volume: 19.24 Å³/atom
Size of the total moment: 2.0 μB per formula unit
Formation energy without anion corrections: 1.5808 eV/atom

---

3.
Compound: Tb3Pr3Mg2
Source: Alexandria
Functional: PBE-GGA
Structure: relaxed

Lattice parameters (Å, degrees): 6.5405 6.5405 15.8722 90.00 90.00 131.07
Last column: nearest neighbours and their distance in Å.
Positions (direct):
Tb 0.0251 0.9749 0.7500  5 Pr 3.27-3.56, 2 Mg 3.35
Tb 0.1447 0.8553 0.0337  3 Mg 3.19-3.39
Tb 0.1447 0.8553 0.4663  3 Mg 3.19-3.39
Tb 0.8553 0.1447 0.5337  3 Mg 3.19-3.39
Tb 0.8553 0.1447 0.9663  3 Mg 3.19-3.39
Tb 0.9749 0.0251 0.2500  5 Pr 3.27-3.56, 2 Mg 3.35
Pr 0.2492 0.7508 0.2500  4 Mg 3.19, 1 Tb 3.27, 2 Pr 3.43
Pr 0.4629 0.5371 0.1047  1 Mg 3.26, 2 Pr 3.43-3.44, 4 Tb 3.56-3.65
Pr 0.4629 0.5371 0.3953  1 Mg 3.26, 2 Pr 3.43-3.44, 4 Tb 3.56-3.65
Pr 0.5371 0.4629 0.6047  1 Mg 3.26, 2 Pr 3.43-3.44, 4 Tb 3.56-3.65
Pr 0.5371 0.4629 0.8953  1 Mg 3.26, 2 Pr 3.43-3.44, 4 Tb 3.56-3.65
Pr 0.7508 0.2492 0.7500  4 Mg 3.19, 1 Tb 3.27, 2 Pr 3.43
Mg 0.2686 0.7314 0.6443  4 Tb 3.19-3.39, 3 Pr 3.19-3.26, 1 Mg 3.35
Mg 0.2686 0.7314 0.8557  4 Tb 3.19-3.39, 3 Pr 3.19-3.26, 1 Mg 3.35
Mg 0.7314 0.2686 0.1443  4 Tb 3.19-3.39, 3 Pr 3.19-3.26, 1 Mg 3.35
Mg 0.7314 0.2686 0.3557  4 Tb 3.19-3.39, 3 Pr 3.19-3.26, 1 Mg 3.35

Calculated values
Uncorrected energy: -30.95 eV/f.u.
N(E_F): 20.242 states/eV per cell
Calculated volume: 31.99 Å³/atom
Formation energy: 0.0588 eV/atom
Size of the total moment: 0.0 μB per formula unit

---

4.
Compound: Pr2Ho8Ga
Source: Alexandria
Functional: PBE-GGA
Structure: relaxed

Lattice parameters (Å, degrees): 9.7426 9.7426 9.7426 147.61 135.32 56.26
Last column: nearest neighbours and their distance in Å.
Positions (direct):
Pr 0.1917 0.1917 0.0000  12 Ho 3.41-3.81
Pr 0.8083 0.8083 0.0000  12 Ho 3.41-3.81
Ho 0.1099 0.3691 0.7408  1 Ga 2.96
Ho 0.2579 0.0000 0.2579  2 Ga 3.26, 7 Ho 3.53-3.61
Ho 0.3174 0.8174 0.5000  8 Ho 3.44-3.67, 4 Pr 3.47-3.71
Ho 0.3717 0.6309 0.7408  1 Ga 2.96
Ho 0.6283 0.3691 0.2592  1 Ga 2.96
Ho 0.6826 0.1826 0.5000  8 Ho 3.44-3.67, 4 Pr 3.47-3.71
Ho 0.7421 0.0000 0.7421  2 Ga 3.26, 7 Ho 3.53-3.61
Ho 0.8901 0.6309 0.2592  1 Ga 2.96
Ga 0.5000 0.5000 0.0000  8 Ho 2.96-3.26

Calculated values
Uncorrected energy: -49.39 eV/f.u.
N(E_F): 14.615 states/eV per cell
Calculated volume: 31.44 Å³/atom
Formation energy: -0.0167 eV/atom
Size of the total moment: 0.0 μB per formula unit

---

5.
Compound: Tc3RuC
Source: Alexandria
Functional: PBE-GGA
Structure: relaxed

Lattice parameters (Å, degrees): 4.6331 4.6331 4.6331 90.00 90.00 90.00
Last column: nearest neighbours and their distance in Å.
Positions (direct):
Tc 0.0000 0.0000 0.5000  2 Ru 2.32
Tc 0.0000 0.5000 0.0000  2 Ru 2.32
Tc 0.5000 0.0000 0.0000  2 Ru 2.32
Ru 0.0000 0.0000 0.0000  6 Tc 2.32
C 0.5000 0.5000 0.5000  12 Tc 3.28

Calculated values
Uncorrected energy: -34.55 eV/f.u.
N(E_F): 6.445 states/eV per cell
Calculated volume: 19.89 Å³/atom
Formation energy: 3.0102 eV/atom
Distance to the lowest polymorph of the same formula: 2.8066 eV/atom
Size of the total moment: 2.2 μB per formula unit

---

6.
Compound: SrZnCuPt
Source: Alexandria
Functional: PBE-GGA
Structure: relaxed

Lattice parameters (Å, degrees): 5.8540 5.8540 5.8540 44.04 44.04 44.04
Last column: nearest neighbours and their distance in Å.
Positions (direct):
Sr 0.0000 0.0000 0.0000  1 Cu 3.00, 4 Pt 3.10-3.34
Zn 0.4930 0.4930 0.4930  3 Pt 2.56, 3 Cu 2.58
Cu 0.1895 0.1895 0.1895  3 Zn 2.58, 3 Pt 2.67
Pt 0.8040 0.8040 0.8040  3 Zn 2.56, 3 Cu 2.67

Calculated values
Uncorrected energy: -15.09 eV/f.u.
N(E_F): 1.638 states/eV per cell
Calculated volume: 22.02 Å³/atom
Formation energy: -0.5003 eV/atom
Size of the total moment: 0.0 μB per formula unit

---

7.
Compound: AcAlRhN
Source: Alexandria
Functional: PBE-GGA
Structure: relaxed

Lattice parameters (Å, degrees): 4.1954 4.1954 8.4753 90.00 90.00 90.00
Last column: nearest neighbours and their distance in Å.
Positions (direct):
Ac 0.2500 0.2500 0.1631  1 N 2.50
Ac 0.7500 0.7500 0.8369  1 N 2.50
Al 0.2500 0.2500 0.6465  1 N 1.88
Al 0.7500 0.7500 0.3535  1 N 1.88
Rh 0.2500 0.7500 0.5000  4 Al 2.44
Rh 0.7500 0.2500 0.5000  4 Al 2.44
N 0.2500 0.2500 0.8683  1 Al 1.88
N 0.7500 0.7500 0.1317  1 Al 1.88

Calculated values
Uncorrected energy: -27.60 eV/f.u.
N(E_F): 2.696 states/eV per cell
Calculated volume: 18.65 Å³/atom
Size of the total moment: 0.0 μB per formula unit
Formation energy without anion corrections: -1.0179 eV/atom